1.
DFT (GGA-PBE) results for Ba2AcMnTe5 after structural relaxation.

The uncorrected formation energy is -1.24 eV/atom. The total moment is 15.99 μB/cell.

It has space group Cmc2_1 (No. 36), with a = 4.7151 Å, b = 20.4921 Å, c = 14.4208 Å, α = 90.00°, β = 90.00° and γ = 90.00°. Symmetry generates all atoms from Ba at (0.0000, 0.1179, 0.0000), Ba at (0.0000, 0.1212, 0.3488), Ac at (0.0000, 0.1949, 0.6892), Mn at (0.0000, 0.4436, 0.0728), Te at (0.0000, 0.0290, 0.6569), Te at (0.0000, 0.3032, 0.3470), Te at (0.0000, 0.3171, 0.0225), Te at (0.0000, 0.3521, 0.6732) and Te at (0.0000, 0.4977, 0.4127).

=====

2.
DFT (GGA-PBE) results for BaAcMoN3 after structural relaxation.

The uncorrected formation energy is -0.73 eV/atom. The total moment is 0.00 μB/cell.

It has space group C2/m (No. 12), with a = 14.3190 Å, b = 4.1238 Å, c = 7.7868 Å, α = 90.00°, β = 106.00° and γ = 90.00°. Symmetry generates all atoms from Ba at (0.1380, 0.0000, 0.0696), Ac at (0.1528, 0.0000, 0.5787), Mo at (0.0005, 0.5000, 0.2888), N at (0.0035, 0.0000, 0.2865), N at (0.1403, 0.5000, 0.8021) and N at (0.1490, 0.5000, 0.3471).

=====

3.
DFT (GGA-PBE) results for Ba3AcMo2N6 after structural relaxation.

The uncorrected formation energy is -0.73 eV/atom. The total moment is 0.00 μB/cell.

It has space group P-3m1 (No. 164), with a = 6.4079 Å, b = 6.4079 Å, c = 7.7014 Å, α = 90.00°, β = 90.00° and γ = 120.00°. Symmetry generates all atoms from Ba at (0.0000, 0.0000, 0.0000), Ba at (0.3333, 0.6667, 0.7082), Ac at (0.0000, 0.0000, 0.5000), Mo at (0.3333, 0.6667, 0.2210) and N at (0.1728, 0.3456, 0.2770).

=====

4.
DFT (GGA-PBE) results for BaAc2MoN4 after structural relaxation.

The uncorrected formation energy is -0.79 eV/atom. The total moment is 0.00 μB/cell.

It has space group Cmcm (No. 63), with a = 3.7306 Å, b = 13.2202 Å, c = 13.0829 Å, α = 90.00°, β = 90.00° and γ = 90.00°. Symmetry generates all atoms from Ba at (0.0000, 0.0822, 0.2500), Ac at (0.0000, 0.3696, 0.0395), Mo at (0.0000, 0.1826, 0.7500), N at (0.0000, 0.0000, 0.0000), N at (0.0000, 0.2611, 0.6303) and N at (0.0000, 0.3862, 0.2500).